Entry from Alexandria: NaPa2VN4 after structural relaxation (PBE).

abc: 5.7113 5.7113 6.5765
angles: 90.00 90.00 90.00
Last column: nearest neighbours and their distance in Å.
Space group I-42m (No. 121)
Unique sites:
1 Na 0.0000 0.0000 0.0000 (multiplicity 2)  4 N 2.22
2 Pa 0.0000 0.5000 0.2500 (multiplicity 4)  4 N 2.37
3 V 0.0000 0.0000 0.5000 (multiplicity 2)  4 N 1.90
4 N 0.2297 0.2297 0.4356 (multiplicity 8)  1 V 1.90

E = -140.34 eV/cell
Volume = 13.4 Å³ per atom
E_form (uncorrected) = -0.930 eV/atom
Total moment = 0.50 μB per cell

***

Entry from Alexandria: Na3Pa3VN8 after structural relaxation (PBE).

abc: 6.8275 6.8275 17.0884
angles: 90.00 90.00 120.00
Last column: nearest neighbours and their distance in Å.
Space group R-3m (No. 166, hexagonal axes)
Unique sites:
1 Na 0.0000 0.5000 0.0000 (multiplicity 9)  6 N 2.63-2.65
2 Pa 0.0000 0.5000 0.5000 (multiplicity 9)  6 N 2.26-2.28
3 V 0.0000 0.0000 0.5000 (multiplicity 3)  6 N 2.07
4 N 0.0000 0.0000 0.2318 (multiplicity 6)  3 Pa 2.26
5 N 0.0264 0.5132 0.2252 (multiplicity 18)  1 V 2.07, 2 Pa 2.28

E = -366.46 eV/cell
Volume = 15.3 Å³ per atom
E_form (uncorrected) = -0.933 eV/atom
Total moment = 0.00 μB per cell